First-principles (SCAN) data for Rh2PbCl at its PBEsol-relaxed geometry, as listed in Alexandria via LeMat-Bulk.

Computed properties:
The calculation puts the density at 9.88 g/cm³. Its crystal system is monoclinic. The value obtained for the density of states at the Fermi level is 4.62 states/eV per cell. As for the total magnetization: 0.0 μB/f.u. The energy comes out at -151.173 eV per cell. Its volume is 75 Å³/f.u. The raw formation energy is 0.03 eV/atom.

a = 2.965 Å, b = 3.464 Å, c = 7.487 Å
α = 90.00°, β = 101.26°, γ = 90.00°
Positions (direct):
Rh 0.547 0.500 0.221
Rh 0.960 0.000 0.044
Pb 0.339 0.500 0.798
Cl 0.654 0.000 0.436